1.
Material: Ce2CdHg2
Method: DFT, GGA-PBE
State: relaxed

Unit cell a=9.2546 b=5.1898 c=6.6917 alpha=90.00 beta=125.72 gamma=90.00
Space group C2/m (No. 12)
Symmetry-distinct sites (fractional):
Ce: 0.1857 0.0000 0.1511
Cd: 0.0000 0.0000 0.5000
Hg: 0.0649 0.5000 0.2687

Values from the calculation:
- DFT total energy (eV per atom) = -2.911
- ΔE to the lowest computed polymorph (meV per atom) = 26
- formation energy from the elements (eV per atom) = -0.2340

=====

2.
Material: TbPmMgTc
Method: DFT, GGA-PBE
State: relaxed

Unit cell a=7.2182 b=7.2182 c=7.2182 alpha=90.00 beta=90.00 gamma=90.00
Space group F-43m (No. 216)
Symmetry-distinct sites (fractional):
Tb: 0.0000 0.0000 0.0000
Pm: 0.0000 0.0000 0.5000
Mg: 0.2500 0.2500 0.7500
Tc: 0.2500 0.2500 0.2500

Values from the calculation:
- DFT total energy (eV per atom) = -5.295
- formation energy from the elements (eV per atom) = 0.0408

=====

3.
Material: Ba2MgTlH
Method: DFT, GGA-PBE
State: relaxed

Unit cell a=7.7714 b=4.9067 c=8.6655 alpha=90.00 beta=107.14 gamma=90.00
Space group P2_1/m (No. 11)
Symmetry-distinct sites (fractional):
Ba: 0.1325 0.2500 0.3708
Ba: 0.2558 0.2500 0.9484
Mg: 0.4383 0.7500 0.3391
Tl: 0.3553 0.7500 0.6843
H: 0.1632 0.7500 0.1987

Values from the calculation:
- DFT total energy (eV per atom) = -2.494
- ΔE to the lowest computed polymorph (meV per atom) = 6

=====

4.
Material: MnCu3Pd5
Method: DFT, GGA-PBE
State: relaxed

Unit cell a=8.3448 b=7.1477 c=9.9318 alpha=90.00 beta=96.16 gamma=90.00
Space group C2/m (No. 12)
Symmetry-distinct sites (fractional):
Mn: 0.0413 0.0000 0.2592
Cu: 0.0000 0.0000 0.0000
Cu: 0.0000 0.0000 0.5000
Cu: 0.2033 0.5000 0.5287
Cu: 0.2479 0.0000 0.8798
Pd: 0.0000 0.3210 0.0000
Pd: 0.0350 0.5000 0.2996
Pd: 0.1920 0.2086 0.6692
Pd: 0.2252 0.5000 0.8653

Values from the calculation:
- DFT total energy (eV per atom) = -5.011
- formation energy from the elements (eV per atom) = 0.2579

=====

5.
Material: Y2Cu3Ni
Method: DFT, GGA-PBE
State: relaxed

Unit cell a=3.6286 b=4.1773 c=7.2431 alpha=90.00 beta=90.00 gamma=90.00
Space group Pmm2 (No. 25)
Symmetry-distinct sites (fractional):
Y: 0.0000 0.0000 0.0000
Y: 0.0000 0.5000 0.4818
Cu: 0.5000 0.0000 0.6547
Cu: 0.5000 0.5000 0.1573
Cu: 0.5000 0.5000 0.8235
Ni: 0.5000 0.0000 0.3223

Values from the calculation:
- DFT total energy (eV per atom) = -5.448
- formation energy from the elements (eV per atom) = -0.2816

=====

6.
Material: Ta5Ge2B
Method: DFT, GGA-PBE
State: relaxed

Unit cell a=6.4837 b=6.4837 c=12.1114 alpha=90.00 beta=90.00 gamma=90.00
Space group I4/mcm (No. 140)
Symmetry-distinct sites (fractional):
Ta: 0.0000 0.0000 0.0000
Ta: 0.1638 0.3362 0.1595
Ge: 0.1352 0.3648 0.5000
B: 0.0000 0.0000 0.2500

Values from the calculation:
- DFT total energy (eV per atom) = -9.626
- formation energy from the elements (eV per atom) = -0.2292

=====

7.
Material: AgPd2Br2
Method: DFT, GGA-PBE
State: relaxed

Unit cell a=7.2451 b=7.2451 c=3.8303 alpha=90.00 beta=90.00 gamma=90.00
Space group P4/mbm (No. 127)
Symmetry-distinct sites (fractional):
Ag: 0.0000 0.0000 0.0000
Pd: 0.1385 0.3615 0.0000
Br: 0.1766 0.6766 0.5000

Values from the calculation:
- raw formation energy (eV per atom) = 0.1332
- DFT total energy (eV per atom) = -3.183
- ΔE to the lowest computed polymorph (meV per atom) = 0

=====

8.
Material: Cd2NiP
Method: DFT, GGA-PBE
State: relaxed

Unit cell a=13.9526 b=2.8858 c=3.6547 alpha=90.00 beta=104.80 gamma=90.00
Space group C2/m (No. 12)
Symmetry-distinct sites (fractional):
Cd: 0.1770 0.0000 0.1774
Ni: 0.0000 0.5000 0.0000
P: 0.0000 0.0000 0.5000

Values from the calculation:
- DFT total energy (eV per atom) = -3.289
- formation energy from the elements (eV per atom) = -0.0341

=====

9.
Material: Pm4Mg4Pb7
Method: DFT, GGA-PBE
State: relaxed

Unit cell a=16.1104 b=16.1104 c=6.4507 alpha=90.00 beta=90.00 gamma=90.00
Space group I4/mmm (No. 139)
Symmetry-distinct sites (fractional):
Pm: 0.0000 0.1922 0.0000
Pm: 0.1366 0.1366 0.5000
Mg: 0.1545 0.3455 0.2500
Pb: 0.0000 0.0000 0.2501
Pb: 0.0000 0.2773 0.5000
Pb: 0.0000 0.4067 0.0000
Pb: 0.1977 0.1977 0.0000

Values from the calculation:
- DFT total energy (eV per atom) = -3.774
- formation energy from the elements (eV per atom) = -0.3512

=====

10.
Material: AlTcI2
Method: DFT, GGA-PBE
State: relaxed

Unit cell a=7.0470 b=7.0470 c=7.0470 alpha=90.00 beta=90.00 gamma=90.00
Space group Fm-3m (No. 225)
Symmetry-distinct sites (fractional):
Al: 0.0000 0.0000 0.0000
Tc: 0.0000 0.0000 0.5000
I: 0.2500 0.2500 0.2500

Values from the calculation:
- raw formation energy (eV per atom) = 0.9116
- DFT total energy (eV per atom) = -3.391
- ΔE to the lowest computed polymorph (meV per atom) = 599

=====

11.
Material: NbFe2Pt3
Method: DFT, GGA-PBE
State: relaxed

Unit cell a=2.7946 b=2.7946 c=11.4630 alpha=90.00 beta=90.00 gamma=90.00
Space group P4/mmm (No. 123)
Symmetry-distinct sites (fractional):
Nb: 0.0000 0.0000 0.0000
Fe: 0.0000 0.0000 0.3409
Pt: 0.5000 0.5000 0.1781
Pt: 0.5000 0.5000 0.5000

Values from the calculation:
- DFT total energy (eV per atom) = -7.891
- formation energy from the elements (eV per atom) = -0.3717

=====

12.
Material: Ti3Mn4V
Method: DFT, GGA-PBE
State: relaxed

Unit cell a=2.9556 b=2.9556 c=11.8814 alpha=90.00 beta=90.00 gamma=90.00
Space group P4/mmm (No. 123)
Symmetry-distinct sites (fractional):
Ti: 0.0000 0.0000 0.0000
Ti: 0.0000 0.0000 0.2522
Mn: 0.5000 0.5000 0.1273
Mn: 0.5000 0.5000 0.3821
V: 0.0000 0.0000 0.5000

Values from the calculation:
- DFT total energy (eV per atom) = -8.942
- formation energy from the elements (eV per atom) = -0.2567

=====

13.
Material: PmY2Ho5Sc
Method: DFT, GGA-PBE
State: relaxed

Unit cell a=5.5683 b=19.6041 c=10.3894 alpha=90.00 beta=90.00 gamma=90.00
Space group Cmc2_1 (No. 36)
Symmetry-distinct sites (fractional):
Pm: 0.0000 0.0861 0.0000
Y: 0.0000 0.3868 0.2789
Y: 0.0000 0.3888 0.8599
Ho: 0.0000 0.0187 0.2830
Ho: 0.0000 0.1215 0.5647
Ho: 0.0000 0.2017 0.2493
Ho: 0.0000 0.2218 0.8649
Ho: 0.0000 0.4801 0.5651
Sc: 0.0000 0.3027 0.5586

Values from the calculation:
- DFT total energy (eV per atom) = -5.041
- formation energy from the elements (eV per atom) = 0.1697

=====

14.
Material: RbTeHS
Method: DFT, GGA-PBE
State: relaxed

Unit cell a=4.6733 b=4.8938 c=5.5509 alpha=86.09 beta=87.29 gamma=89.02
Space group P1 (No. 1)
Symmetry-distinct sites (fractional):
Rb: 0.0000 0.0000 0.0000
Te: 0.5693 0.4249 0.5084
H: 0.2614 0.2515 0.4841
S: 0.5019 0.5121 0.9353

Values from the calculation:
- DFT total energy (eV per atom) = -3.292
- ΔE to the lowest computed polymorph (meV per atom) = 101

=====

15.
Material: LiZr
Method: DFT, GGA-PBE
State: relaxed

Unit cell a=3.3566 b=3.3566 c=3.3566 alpha=90.00 beta=90.00 gamma=90.00
Space group Pm-3m (No. 221)
Symmetry-distinct sites (fractional):
Li: 0.0000 0.0000 0.0000
Zr: 0.5000 0.5000 0.5000

Values from the calculation:
- DFT total energy (eV per atom) = -4.893
- ΔE to the lowest computed polymorph (meV per atom) = 255
- formation energy from the elements (eV per atom) = 0.3384

=====

16.
Material: La12AgSn4N3
Method: DFT, GGA-PBE
State: relaxed

Unit cell a=10.5087 b=10.5087 c=10.5087 alpha=90.00 beta=90.00 gamma=90.00
Space group Im-3m (No. 229)
Symmetry-distinct sites (fractional):
La: 0.0000 0.0000 0.2753
La: 0.0000 0.2500 0.5000
Ag: 0.0000 0.0000 0.0000
Sn: 0.2500 0.2500 0.2500
N: 0.0000 0.0000 0.5000

Values from the calculation:
- raw formation energy (eV per atom) = -0.7537
- DFT total energy (eV per atom) = -5.902

=====

17.
Material: TaCdIr
Method: DFT, GGA-PBE
State: relaxed

Unit cell a=4.5689 b=4.5689 c=2.8959 alpha=90.00 beta=90.00 gamma=120.00
Space group P3m1 (No. 156)
Symmetry-distinct sites (fractional):
Ta: 0.0000 0.0000 0.0000
Cd: 0.3333 0.6667 0.4388
Ir: 0.6667 0.3333 0.7854

Values from the calculation:
- DFT total energy (eV per atom) = -7.188
- ΔE to the lowest computed polymorph (meV per atom) = 137
- formation energy from the elements (eV per atom) = 0.0215

=====

18.
Material: Tb2PdPt
Method: DFT, GGA-PBE
State: relaxed

Unit cell a=5.6249 b=4.5098 c=7.5669 alpha=90.00 beta=109.67 gamma=90.00
Space group P2_1/m (No. 11)
Symmetry-distinct sites (fractional):
Tb: 0.2222 0.2500 0.4341
Tb: 0.2285 0.2500 0.9285
Pd: 0.3209 0.7500 0.2056
Pt: 0.3300 0.7500 0.7072

Values from the calculation:
- DFT total energy (eV per atom) = -6.224
- formation energy from the elements (eV per atom) = -1.1005

=====

19.
Material: Bi2Sb2Au5
Method: DFT, GGA-PBE
State: relaxed

Unit cell a=13.3053 b=4.6795 c=8.0015 alpha=90.00 beta=107.21 gamma=90.00
Space group C2/m (No. 12)
Symmetry-distinct sites (fractional):
Bi: 0.1446 0.0000 0.0076
Sb: 0.0840 0.5000 0.3848
Au: 0.0000 0.5000 0.0000
Au: 0.1374 0.5000 0.7652
Au: 0.1921 0.0000 0.3956

Values from the calculation:
- raw formation energy (eV per atom) = 0.0132
- DFT total energy (eV per atom) = -3.586

=====

20.
Material: Lu3Ge2Rh2
Method: DFT, GGA-PBE
State: relaxed

Unit cell a=5.5305 b=7.5956 c=13.1242 alpha=90.00 beta=90.00 gamma=90.00
Space group Pbcm (No. 57)
Symmetry-distinct sites (fractional):
Lu: 0.1276 0.2344 0.2500
Lu: 0.3531 0.6005 0.0997
Ge: 0.1788 0.2500 0.0000
Ge: 0.3808 0.6147 0.7500
Rh: 0.1262 0.5507 0.5932

Values from the calculation:
- DFT total energy (eV per atom) = -6.308
- formation energy from the elements (eV per atom) = -0.9504

=====

21.
Material: Pm6PtRh2
Method: DFT, GGA-PBE
State: relaxed

Unit cell a=9.6231 b=9.7016 c=10.2106 alpha=90.00 beta=90.00 gamma=90.00
Space group Immm (No. 71)
Symmetry-distinct sites (fractional):
Pm: 0.0000 0.1920 0.1700
Pm: 0.1748 0.2291 0.5000
Pm: 0.1863 0.5000 0.2504
Pt: 0.0000 0.5000 0.0000
Pt: 0.0000 0.5000 0.5000
Rh: 0.0000 0.0000 0.3707
Rh: 0.1681 0.0000 0.0000

Values from the calculation:
- DFT total energy (eV per atom) = -6.073
- formation energy from the elements (eV per atom) = -0.6008